A relaxed Nd2HfF crystal. Source: Alexandria via LeMat-Bulk, functional PBE.

Results
Calculated volume in Å³ per cell: 95
Crystal system: trigonal
Total DFT energy (no corrections) in eV/atom: -6.10
Energy relative to the elements, uncorrected in eV per atom: -0.76

a b c (Å): 3.2511 3.2511 10.5460
angles (deg): 81.13 81.13 60.00
Fractional coordinates of all 4 atoms:
Nd 0.1035 0.1035 0.6895
Nd 0.8965 0.8965 0.3105
Hf 0.0000 0.0000 0.0000
F 0.5000 0.5000 0.5000